## MgTiCu (PBE)

Data for a relaxed MgTiCu crystal.

Cell lengths 4.092, 4.121, 11.746 Å; angles 90.00, 90.00, 90.00 degrees
Positions (direct):
Mg: 0.000 0.000 0.154
Mg: 0.000 0.000 0.846
Mg: 0.500 0.500 0.154
Mg: 0.500 0.500 0.846
Ti: 0.000 0.500 0.352
Ti: 0.000 0.500 0.648
Ti: 0.500 0.000 0.352
Ti: 0.500 0.000 0.648
Cu: 0.000 0.000 0.500
Cu: 0.000 0.500 0.000
Cu: 0.500 0.000 0.000
Cu: 0.500 0.500 0.500

Summary:
The mass density is 4.6 g cm⁻³. For the formation energy from the elements, the calculation gives 0.09 eV per formula unit.